# NaZrP2S, optimized geometry, DFT PBE
# VASP energy ... -5.231 eV/atom
# Symmetry ... No. 123
# Energy above the lowest structure with this stoichiometry ... 0.0 kJ/mol of formula units
# Energy relative to the elements, uncorrected ... -0.27 eV/atom
data_NaZrP2S
_symmetry_space_group_name_H-M 'P 1'
_symmetry_Int_Tables_number 1
_symmetry_space_group_name_Hall 'P 1'
_cell_length_a 5.073
_cell_length_b 5.073
_cell_length_c 5.042
_cell_angle_alpha 90.00
_cell_angle_beta 90.00
_cell_angle_gamma 90.00
loop_
_atom_site_label
_atom_site_fract_x
_atom_site_fract_y
_atom_site_fract_z
P1 0.500 0.000 0.000
P2 0.000 0.500 0.000
Zr1 0.000 0.000 0.000
S1 0.000 0.000 0.500
Na1 0.500 0.500 0.500

***

# La2Ga3Pt4, optimized geometry, DFT PBE
# VASP energy ... -5.780 eV/atom
# Symmetry ... No. 64
# ΔH_f (0 K) ... -991 meV per atom
data_La2Ga3Pt4
_symmetry_space_group_name_H-M 'P 1'
_symmetry_Int_Tables_number 1
_symmetry_space_group_name_Hall 'P 1'
_cell_length_a 5.780
_cell_length_b 7.633
_cell_length_c 8.454
_cell_angle_alpha 90.00
_cell_angle_beta 109.99
_cell_angle_gamma 90.00
loop_
_atom_site_label
_atom_site_fract_x
_atom_site_fract_y
_atom_site_fract_z
Ga1 0.500 0.500 0.000
La1 0.609 0.911 0.218
Pt1 0.688 0.750 0.876
Ga2 0.000 0.000 0.000
Ga3 0.978 0.250 0.456
Pt2 0.183 0.976 0.365
La2 0.109 0.589 0.218
Pt3 0.188 0.750 0.876
Pt4 0.812 0.250 0.124
Pt5 0.312 0.250 0.124
Ga4 0.522 0.750 0.544
Ga5 0.022 0.750 0.544
Ga6 0.478 0.250 0.456
La3 0.391 0.089 0.782
Pt6 0.317 0.476 0.635
La4 0.891 0.411 0.782
Pt7 0.817 0.024 0.635
Pt8 0.683 0.524 0.365

***

# BaAlN2F, optimized geometry, DFT PBE
# VASP energy ... -6.011 eV/atom
# Symmetry ... No. 123
# Energy above the lowest structure with this stoichiometry ... 0.0 kJ/mol of formula units
# Energy relative to the elements, uncorrected ... -1.17 eV/atom
data_BaAlN2F
_symmetry_space_group_name_H-M 'P 1'
_symmetry_Int_Tables_number 1
_symmetry_space_group_name_Hall 'P 1'
_cell_length_a 3.818
_cell_length_b 3.818
_cell_length_c 4.734
_cell_angle_alpha 90.00
_cell_angle_beta 90.00
_cell_angle_gamma 90.00
loop_
_atom_site_label
_atom_site_fract_x
_atom_site_fract_y
_atom_site_fract_z
Al1 0.000 0.000 0.000
N1 0.000 0.500 0.000
N2 0.500 0.000 0.000
F1 0.000 0.000 0.500
Ba1 0.500 0.500 0.500

***

# Li2Tl3, optimized geometry, DFT PBE
# VASP energy ... -2.345 eV/atom
# Symmetry ... No. 139
# ΔH_f (0 K) ... -159 meV per atom
# Energy above the lowest structure with this stoichiometry ... 0.0 kJ/mol of formula units
data_Li2Tl3
_symmetry_space_group_name_H-M 'P 1'
_symmetry_Int_Tables_number 1
_symmetry_space_group_name_Hall 'P 1'
_cell_length_a 3.567
_cell_length_b 3.567
_cell_length_c 9.469
_cell_angle_alpha 100.86
_cell_angle_beta 100.86
_cell_angle_gamma 90.00
loop_
_atom_site_label
_atom_site_fract_x
_atom_site_fract_y
_atom_site_fract_z
Tl1 0.809 0.809 0.619
Tl2 0.191 0.191 0.381
Li1 0.405 0.405 0.809
Tl3 0.000 0.000 0.000
Li2 0.595 0.595 0.191

***

# Pr4Si2SeCl, optimized geometry, DFT PBE
# VASP energy ... -5.656 eV/atom
# Symmetry ... No. 139
# Energy relative to the elements, uncorrected ... -1.24 eV/atom
data_Pr4Si2SeCl
_symmetry_space_group_name_H-M 'P 1'
_symmetry_Int_Tables_number 1
_symmetry_space_group_name_Hall 'P 1'
_cell_length_a 6.027
_cell_length_b 6.027
_cell_length_c 7.348
_cell_angle_alpha 114.21
_cell_angle_beta 114.21
_cell_angle_gamma 90.00
loop_
_atom_site_label
_atom_site_fract_x
_atom_site_fract_y
_atom_site_fract_z
Si1 0.687 0.187 0.500
Pr1 0.437 0.937 0.000
Se1 0.937 0.937 0.000
Pr2 0.184 0.184 0.495
Pr3 0.690 0.690 0.505
Pr4 0.937 0.437 0.000
Cl1 0.437 0.437 0.000
Si2 0.187 0.687 0.500

***

# Tl7Cd4In, optimized geometry, DFT PBE
# VASP energy ... -1.864 eV/atom
# Symmetry ... No. 164
# ΔH_f (0 K) ... 50 meV per atom
data_Tl7Cd4In
_symmetry_space_group_name_H-M 'P 1'
_symmetry_Int_Tables_number 1
_symmetry_space_group_name_Hall 'P 1'
_cell_length_a 5.527
_cell_length_b 5.527
_cell_length_c 12.963
_cell_angle_alpha 90.00
_cell_angle_beta 90.00
_cell_angle_gamma 120.00
loop_
_atom_site_label
_atom_site_fract_x
_atom_site_fract_y
_atom_site_fract_z
Tl1 0.667 0.333 0.588
In1 0.000 0.000 0.500
Tl2 0.000 0.000 0.257
Cd1 0.667 0.333 0.338
Tl3 0.667 0.333 0.858
Tl4 0.333 0.667 0.142
Tl5 0.000 0.000 0.743
Tl6 0.333 0.667 0.412
Cd2 0.333 0.667 0.662
Cd3 0.667 0.333 0.106
Tl7 0.000 0.000 0.000
Cd4 0.333 0.667 0.894

***

# Nd3Sm2Tm4, optimized geometry, DFT PBE
# VASP energy ... -4.605 eV/atom
# Symmetry ... No. 2
# ΔH_f (0 K) ... 20 meV per atom
# Energy above the lowest structure with this stoichiometry ... 0.0 kJ/mol of formula units
data_Nd3Sm2Tm4
_symmetry_space_group_name_H-M 'P 1'
_symmetry_Int_Tables_number 1
_symmetry_space_group_name_Hall 'P 1'
_cell_length_a 6.208
_cell_length_b 9.480
_cell_length_c 6.201
_cell_angle_alpha 96.13
_cell_angle_beta 99.60
_cell_angle_gamma 123.20
loop_
_atom_site_label
_atom_site_fract_x
_atom_site_fract_y
_atom_site_fract_z
Tm1 0.221 0.446 0.110
Sm1 0.666 0.333 0.332
Sm2 0.334 0.667 0.668
Nd1 0.887 0.777 0.442
Nd2 0.113 0.223 0.558
Tm2 0.779 0.554 0.890
Tm3 0.441 0.888 0.222
Nd3 0.000 0.000 0.000
Tm4 0.559 0.112 0.778

***

# SiBiS2Cl, optimized geometry, DFT PBE
# VASP energy ... -3.349 eV/atom
# Symmetry ... No. 123
# Energy above the lowest structure with this stoichiometry ... 292.5 kJ/mol of formula units
# Energy relative to the elements, uncorrected ... 0.53 eV/atom
data_SiBiS2Cl
_symmetry_space_group_name_H-M 'P 1'
_symmetry_Int_Tables_number 1
_symmetry_space_group_name_Hall 'P 1'
_cell_length_a 5.330
_cell_length_b 5.330
_cell_length_c 5.188
_cell_angle_alpha 90.00
_cell_angle_beta 90.00
_cell_angle_gamma 90.00
loop_
_atom_site_label
_atom_site_fract_x
_atom_site_fract_y
_atom_site_fract_z
Si1 0.500 0.500 0.500
Bi1 0.000 0.000 0.000
S1 0.000 0.500 0.000
Cl1 0.000 0.000 0.500
S2 0.500 0.000 0.000

***

Which of these has the lowest VASP energy? BaAlN2F

***

Please write out number 5 again, unchanged.
# Pr4Si2SeCl, optimized geometry, DFT PBE
# VASP energy ... -5.656 eV/atom
# Symmetry ... No. 139
# Energy relative to the elements, uncorrected ... -1.24 eV/atom
data_Pr4Si2SeCl
_symmetry_space_group_name_H-M 'P 1'
_symmetry_Int_Tables_number 1
_symmetry_space_group_name_Hall 'P 1'
_cell_length_a 6.027
_cell_length_b 6.027
_cell_length_c 7.348
_cell_angle_alpha 114.21
_cell_angle_beta 114.21
_cell_angle_gamma 90.00
loop_
_atom_site_label
_atom_site_fract_x
_atom_site_fract_y
_atom_site_fract_z
Si1 0.687 0.187 0.500
Pr1 0.437 0.937 0.000
Se1 0.937 0.937 0.000
Pr2 0.184 0.184 0.495
Pr3 0.690 0.690 0.505
Pr4 0.937 0.437 0.000
Cl1 0.437 0.437 0.000
Si2 0.187 0.687 0.500

***

Look up the VASP energy of the third one. -6.011 eV/atom